DFT (PBEsol) results for crystalline RhCI3 at its relaxed geometry.

Calculated values
Crystal system: cubic
Formation energy (no corrections): 1591 meV/atom

Lattice parameters (Å, degrees): 5.2700 5.2700 5.2700 90.00 90.00 90.00
Space group Pm-3m (No. 221)
One atom of each set of equivalent atoms:
Rh 0.0000 0.0000 0.0000
C 0.5000 0.5000 0.5000
I 0.0000 0.0000 0.5000

***

DFT (PBEsol) results for crystalline RhCI3 at its relaxed geometry.

Calculated values
Crystal system: cubic
Formation energy (no corrections): 1576 meV/atom

Lattice parameters (Å, degrees): 4.8471 4.8471 4.8471 90.00 90.00 90.00
Space group Pm-3m (No. 221)
One atom of each set of equivalent atoms:
Rh 0.0000 0.0000 0.0000
C 0.5000 0.5000 0.5000
I 0.0000 0.5000 0.5000

***

DFT (PBEsol) results for crystalline Sb2RhCI at its relaxed geometry.

Calculated values
Crystal system: tetragonal
Formation energy (no corrections): 1225 meV/atom

Lattice parameters (Å, degrees): 4.6511 4.6511 4.5516 90.00 90.00 90.00
Space group P4/mmm (No. 123)
One atom of each set of equivalent atoms:
Sb 0.0000 0.5000 0.0000
Rh 0.0000 0.0000 0.5000
C 0.5000 0.5000 0.0000
I 0.5000 0.5000 0.5000

***

DFT (PBEsol) results for crystalline Sb2RhCI at its relaxed geometry.

Calculated values
Crystal system: tetragonal
Formation energy (no corrections): 1639 meV/atom

Lattice parameters (Å, degrees): 4.9951 4.9951 5.4530 90.00 90.00 90.00
Space group P4/mmm (No. 123)
One atom of each set of equivalent atoms:
Sb 0.0000 0.5000 0.0000
Rh 0.0000 0.0000 0.0000
C 0.5000 0.5000 0.5000
I 0.0000 0.0000 0.5000

***

DFT (PBEsol) results for crystalline TeRhCI2 at its relaxed geometry.

Calculated values
Crystal system: tetragonal
Formation energy (no corrections): 1487 meV/atom

Lattice parameters (Å, degrees): 4.6890 4.6890 4.8042 90.00 90.00 90.00
Space group P4/mmm (No. 123)
One atom of each set of equivalent atoms:
Te 0.0000 0.0000 0.0000
Rh 0.5000 0.5000 0.0000
C 0.0000 0.0000 0.5000
I 0.0000 0.5000 0.5000

***

DFT (PBEsol) results for crystalline Ru2CI at its relaxed geometry.

Calculated values
Crystal system: cubic
Formation energy (no corrections): 1584 meV/atom

Lattice parameters (Å, degrees): 6.0395 6.0395 6.0395 90.00 90.00 90.00
Space group Fm-3m (No. 225)
One atom of each set of equivalent atoms:
Ru 0.2500 0.2500 0.2500
C 0.0000 0.0000 0.0000
I 0.0000 0.0000 0.5000

***

DFT (PBEsol) results for crystalline RuC2I at its relaxed geometry.

Calculated values
Crystal system: cubic
Formation energy (no corrections): 2496 meV/atom

Lattice parameters (Å, degrees): 5.6987 5.6987 5.6987 90.00 90.00 90.00
Space group Fm-3m (No. 225)
One atom of each set of equivalent atoms:
Ru 0.0000 0.0000 0.0000
C 0.2500 0.2500 0.2500
I 0.0000 0.0000 0.5000

***

DFT (PBEsol) results for crystalline TaRuC2I at its relaxed geometry.

Calculated values
Crystal system: tetragonal
Formation energy (no corrections): 1848 meV/atom

Lattice parameters (Å, degrees): 4.1022 4.1022 5.1372 90.00 90.00 90.00
Space group P4/mmm (No. 123)
One atom of each set of equivalent atoms:
Ta 0.0000 0.0000 0.0000
Ru 0.0000 0.0000 0.5000
C 0.0000 0.5000 0.0000
I 0.5000 0.5000 0.5000

***

DFT (PBEsol) results for crystalline ScSb2CI at its relaxed geometry.

Calculated values
Crystal system: tetragonal
Formation energy (no corrections): 1466 meV/atom

Lattice parameters (Å, degrees): 5.4574 5.4574 5.4106 90.00 90.00 90.00
Space group P4/mmm (No. 123)
One atom of each set of equivalent atoms:
Sc 0.0000 0.0000 0.0000
Sb 0.0000 0.5000 0.0000
C 0.5000 0.5000 0.5000
I 0.0000 0.0000 0.5000

***

DFT (PBEsol) results for crystalline SrSbCI2 at its relaxed geometry.

Calculated values
Crystal system: tetragonal
Formation energy (no corrections): 1370 meV/atom

Lattice parameters (Å, degrees): 6.1806 6.1806 6.5712 90.00 90.00 90.00
Space group P4/mmm (No. 123)
One atom of each set of equivalent atoms:
Sr 0.0000 0.0000 0.0000
Sb 0.0000 0.0000 0.5000
C 0.5000 0.5000 0.5000
I 0.0000 0.5000 0.0000

***

DFT (PBEsol) results for crystalline Sb2TeCI at its relaxed geometry.

Calculated values
Crystal system: tetragonal
Formation energy (no corrections): 2137 meV/atom

Lattice parameters (Å, degrees): 5.7371 5.7371 5.8224 90.00 90.00 90.00
Space group P4/mmm (No. 123)
One atom of each set of equivalent atoms:
Sb 0.0000 0.5000 0.0000
Te 0.0000 0.0000 0.0000
C 0.5000 0.5000 0.5000
I 0.0000 0.0000 0.5000

***

DFT (PBEsol) results for crystalline TiSbCI2 at its relaxed geometry.

Calculated values
Crystal system: tetragonal
Formation energy (no corrections): 1371 meV/atom

Lattice parameters (Å, degrees): 5.2771 5.2771 5.3505 90.00 90.00 90.00
Space group P4/mmm (No. 123)
One atom of each set of equivalent atoms:
Ti 0.0000 0.0000 0.0000
Sb 0.0000 0.0000 0.5000
C 0.5000 0.5000 0.5000
I 0.0000 0.5000 0.0000